No. 1
Material: Li2TbPaSe4
Method: DFT, PBE
State: optimized geometry

Calculated values
* size of the total moment: 1.83 μB per formula unit
* calculated total energy: -43.60 eV per formula unit

Lattice parameters (Å, degrees): 6.9840 4.0121 7.0473 90.00 109.34 90.00
Last column: nearest neighbours and their distance in Å.
Space group P2/m (No. 10)
Asymmetric unit:
Li: 0.0000 0.0000 0.0000 (multiplicity 1)  6 Se 2.82-2.83
Li: 0.0000 0.5000 0.5000 (multiplicity 1)  6 Se 2.80-2.84
Tb: 0.5000 0.0000 0.5000 (multiplicity 1)  6 Se 2.89-2.90
Pa: 0.5000 0.5000 0.0000 (multiplicity 1)  6 Se 2.88-2.90
Se: 0.2379 0.0000 0.7442 (multiplicity 2)  3 Li 2.80-2.83, 1 Tb 2.90, 2 Pa 2.90
Se: 0.2421 0.5000 0.2457 (multiplicity 2)  3 Li 2.82-2.84, 1 Pa 2.88, 2 Tb 2.89

No. 2
Material: Pr2Y3Er6Pu
Method: DFT, PBE
State: optimized geometry

Calculated values
* DFT formation energy: 0.05 eV/atom
* size of the total moment: 6.17 μB per formula unit
* calculated total energy: -70.02 eV per formula unit

Lattice parameters (Å, degrees): 6.1551 10.6696 11.7113 90.00 100.13 90.00
Last column: nearest neighbours and their distance in Å.
Space group C2/m (No. 12)
Asymmetric unit:
Pr: 0.0000 0.1665 0.0000 (multiplicity 4)  6 Er 3.55, 3 Pr 3.55-3.56, 3 Pu 3.55-3.56
Y: 0.0000 0.0000 0.5000 (multiplicity 2)  6 Er 3.53-3.55, 6 Y 3.55-3.56
Y: 0.0000 0.3331 0.5000 (multiplicity 4)  6 Er 3.53-3.55, 6 Y 3.55-3.56
Er: 0.2453 0.5000 0.7495 (multiplicity 4)  6 Er 3.50-3.58, 3 Y 3.53-3.55, 1 Pu 3.53, 2 Pr 3.55
Er: 0.2476 0.3357 0.2503 (multiplicity 8)  6 Er 3.50-3.58, 1 Pu 3.52, 3 Y 3.53-3.55, 2 Pr 3.55
Pu: 0.0000 0.5000 0.0000 (multiplicity 2)  6 Er 3.52-3.53, 6 Pr 3.55-3.56

Which value of calculated total energy does entry 2 give?
-70.02 eV per formula unit

Which of these has the highest size of the total moment?
Pr2Y3Er6Pu

Look up the calculated total energy of the second one.
-70.02 eV per formula unit

Look up the size of the total moment of the first one.
1.83 μB per formula unit